The following is a GGA-PBE calculation of an optimized crystal structure of TaCoPt, from the Alexandria database.

Results
DFT formation energy: -0.2746 eV/atom
Distance to the lowest polymorph of the same formula: 0.140 eV/atom
Symmetry: No. 156

Cell: 4.320 4.320 2.738 Å, 90.00 90.00 120.00°
Element x y z (fractional)
Ta  0.333  0.667  0.787
Co  0.000  0.000  0.884
Pt  0.667  0.333  0.329